No. 1
This record from the Alexandria database describes a geometry-optimized Nd3CuHg2 structure. The functional is PBE.

Unit cell a=8.3845 b=8.3845 c=3.7567 alpha=90.00 beta=90.00 gamma=142.73
Positions (direct):
Nd  0.0000  0.0000  0.0000
Nd  0.3449  0.6551  0.0000
Nd  0.6551  0.3449  0.0000
Cu  0.5000  0.5000  0.5000
Hg  0.1739  0.8261  0.5000
Hg  0.8261  0.1739  0.5000

Output
Its crystal system is orthorhombic. The final energy is -3.512 eV per atom. Its space group is No. 65. The energy of formation from the pure elements comes out at -0.344 eV per atom. The calculation puts the density of states at the Fermi level at 1.0979 states/eV per atom.

=====

No. 2
This record from the Alexandria database describes a geometry-optimized ScSCl2 structure. The functional is PBE.

Unit cell a=11.0733 b=11.0733 c=11.0733 alpha=19.30 beta=19.30 gamma=19.30
Positions (direct):
Sc  0.0000  0.0000  0.0000
S  0.5000  0.5000  0.5000
Cl  0.0700  0.0700  0.0700
Cl  0.9300  0.9300  0.9300

Output
As for the relative energy among the computed polymorphs: 25.77 kcal/mol of atoms. Its crystal system is trigonal. The formation energy without anion corrections is -183 meV/atom. The final energy is -3.721 eV per atom. Its space group is No. 166. The calculation puts the density of states at the Fermi level at 0.6000 states/eV per atom.

=====

No. 3
This record from the Alexandria database describes a geometry-optimized BaLiAs2Pd structure. The functional is PBE.

Unit cell a=6.2108 b=6.2108 c=6.2108 alpha=137.53 beta=137.53 gamma=61.63
Positions (direct):
Ba  0.0000  0.0000  0.0000
Li  0.2500  0.7500  0.5000
As  0.3767  0.3767  0.0000
As  0.6233  0.6233  0.0000
Pd  0.7500  0.2500  0.5000

Output
Its crystal system is tetragonal. The final energy is -4.501 eV per atom. Its space group is No. 119. The energy of formation from the pure elements comes out at -0.835 eV per atom. The calculation puts the density of states at the Fermi level at 0.3518 states/eV per atom.

=====

No. 4
This record from the Alexandria database describes a geometry-optimized La3Tb2Tm2 structure. The functional is PBE.

Unit cell a=9.0522 b=9.0522 c=8.6052 alpha=117.94 beta=117.94 gamma=22.40
Positions (direct):
La  0.0000  0.0000  0.0000
La  0.2141  0.2141  0.2930
La  0.7859  0.7859  0.7070
Tb  0.4353  0.4353  0.5881
Tb  0.5647  0.5647  0.4119
Tm  0.1410  0.1410  0.8214
Tm  0.8590  0.8590  0.1786

Output
Its crystal system is monoclinic. The final energy is -4.596 eV per atom. Its space group is No. 12. The energy of formation from the pure elements comes out at 0.116 eV per atom. The calculation puts the density of states at the Fermi level at 1.5475 states/eV per atom.

=====

No. 5
This record from the Alexandria database describes a geometry-optimized CaPd15Pb4 structure. The functional is PBE.

Unit cell a=4.1153 b=4.1153 c=20.5164 alpha=90.00 beta=90.00 gamma=90.00
Positions (direct):
Ca  0.0000  0.0000  0.0000
Pd  0.0000  0.5000  0.1021
Pd  0.0000  0.5000  0.3004
Pd  0.0000  0.5000  0.5000
Pd  0.0000  0.5000  0.6996
Pd  0.0000  0.5000  0.8979
Pd  0.5000  0.0000  0.1021
Pd  0.5000  0.0000  0.3004
Pd  0.5000  0.0000  0.5000
Pd  0.5000  0.0000  0.6996
Pd  0.5000  0.0000  0.8979
Pd  0.5000  0.5000  0.0000
Pd  0.5000  0.5000  0.2016
Pd  0.5000  0.5000  0.4003
Pd  0.5000  0.5000  0.5997
Pd  0.5000  0.5000  0.7984
Pb  0.0000  0.0000  0.1998
Pb  0.0000  0.0000  0.3999
Pb  0.0000  0.0000  0.6001
Pb  0.0000  0.0000  0.8002

Output
Its crystal system is tetragonal. The final energy is -5.068 eV per atom. Its space group is No. 123. The energy of formation from the pure elements comes out at -0.332 eV per atom. The calculation puts the density of states at the Fermi level at 0.5592 states/eV per atom.

=====

No. 6
This record from the Alexandria database describes a geometry-optimized PrYCu2Si2 structure. The functional is PBE.

Unit cell a=4.1933 b=4.1933 c=7.7517 alpha=90.00 beta=90.00 gamma=120.00
Positions (direct):
Pr  0.0000  0.0000  0.0000
Y  0.0000  0.0000  0.5000
Cu  0.3333  0.6667  0.7332
Cu  0.6667  0.3333  0.2668
Si  0.3333  0.6667  0.2616
Si  0.6667  0.3333  0.7384

Output
Its crystal system is trigonal. The formation energy without anion corrections is -646 meV/atom. The final energy is -5.693 eV per atom. Its space group is No. 164. The calculation puts the density of states at the Fermi level at 0.3578 states/eV per atom.

=====

No. 7
This record from the Alexandria database describes a geometry-optimized PmPr2ZnSe5 structure. The functional is PBE.

Unit cell a=9.1176 b=9.1176 c=12.7246 alpha=90.00 beta=90.00 gamma=154.19
Positions (direct):
Pm  0.1840  0.8160  0.5000
Pm  0.8160  0.1840  0.0000
Pr  0.1203  0.8797  0.1627
Pr  0.1217  0.8783  0.8153
Pr  0.8783  0.1217  0.3153
Pr  0.8797  0.1203  0.6627
Zn  0.4516  0.5484  0.8961
Zn  0.5484  0.4516  0.3961
Se  0.0177  0.9823  0.4945
Se  0.3003  0.6997  0.1650
Se  0.3152  0.6848  0.8292
Se  0.3472  0.6528  0.4892
Se  0.4931  0.5069  0.2230
Se  0.5069  0.4931  0.7230
Se  0.6528  0.3472  0.9892
Se  0.6848  0.3152  0.3292
Se  0.6997  0.3003  0.6650
Se  0.9823  0.0177  0.9945

Output
Its crystal system is orthorhombic. The formation energy without anion corrections is -1593 meV/atom. The final energy is -5.260 eV per atom. Its space group is No. 36. The calculation puts the density of states at the Fermi level at 0.1319 states/eV per atom.

=====

No. 8
This record from the Alexandria database describes a geometry-optimized MgWCl2 structure. The functional is PBE.

Unit cell a=6.5663 b=6.5663 c=6.5663 alpha=153.83 beta=140.92 gamma=47.64
Positions (direct):
Mg  0.0000  0.0000  0.0000
W  0.1995  0.6995  0.5000
Cl  0.3795  0.3795  0.0000
Cl  0.6806  0.1806  0.5000

Output
As for the relative energy among the computed polymorphs: 10.35 kcal/mol of atoms. Its crystal system is orthorhombic. The formation energy without anion corrections is 249 meV/atom. The final energy is -4.312 eV per atom. Its space group is No. 44. The calculation puts the density of states at the Fermi level at 0.5394 states/eV per atom.

=====

No. 9
This record from the Alexandria database describes a geometry-optimized NaY2Se3 structure. The functional is PBE.

Unit cell a=7.1811 b=7.1811 c=7.1811 alpha=146.86 beta=132.23 gamma=59.37
Positions (direct):
Na  0.0000  0.0000  0.0000
Y  0.3366  0.3366  0.0000
Y  0.6634  0.6634  0.0000
Se  0.1716  0.6716  0.5000
Se  0.5000  0.0000  0.5000
Se  0.8284  0.3284  0.5000

Output
Its crystal system is orthorhombic. The formation energy without anion corrections is -1723 meV/atom. The final energy is -5.840 eV per atom. Its space group is No. 71. The calculation puts the density of states at the Fermi level at 0.3346 states/eV per atom.

=====

No. 10
This record from the Alexandria database describes a geometry-optimized Pr7Y2Mg2 structure. The functional is PBE.

Unit cell a=10.8860 b=10.8860 c=10.8860 alpha=160.75 beta=68.21 gamma=115.29
Positions (direct):
Pr  0.0000  0.0000  0.0000
Pr  0.0206  0.6957  0.3249
Pr  0.3351  0.4443  0.8907
Pr  0.3708  0.6957  0.6751
Pr  0.5469  0.2038  0.3430
Pr  0.5536  0.4443  0.1093
Pr  0.8608  0.2038  0.6570
Y  0.1661  0.9495  0.2166
Y  0.7329  0.9495  0.7834
Mg  0.2524  0.7524  0.5000
Mg  0.6976  0.6976  0.0000

Output
As for the relative energy among the computed polymorphs: 0.23 kcal/mol of atoms. Its crystal system is orthorhombic. The final energy is -4.394 eV per atom. Its space group is No. 44. The energy of formation from the pure elements comes out at 0.112 eV per atom. The calculation puts the density of states at the Fermi level at 1.2672 states/eV per atom.

=====

No. 11
This record from the Alexandria database describes a geometry-optimized InNiTe structure. The functional is PBE.

Unit cell a=6.8999 b=6.8999 c=6.8999 alpha=152.65 beta=152.65 gamma=39.06
Positions (direct):
In  0.0000  0.0000  0.0000
Ni  0.3423  0.3423  0.0000
Te  0.7470  0.7470  0.0000

Output
As for the relative energy among the computed polymorphs: 4.27 kcal/mol of atoms. Its crystal system is tetragonal. The formation energy without anion corrections is 68 meV/atom. The final energy is -3.820 eV per atom. Its space group is No. 107. The calculation puts the density of states at the Fermi level at 0.4967 states/eV per atom.

=====

No. 12
This record from the Alexandria database describes a geometry-optimized PmPd3Au structure. The functional is PBE.

Unit cell a=4.8075 b=4.8075 c=4.8075 alpha=95.59 beta=95.59 gamma=95.59
Positions (direct):
Pm  0.0000  0.0000  0.0000
Pd  0.5518  0.5518  0.9359
Pd  0.5518  0.9359  0.5518
Pd  0.9359  0.5518  0.5518
Au  0.3839  0.3839  0.3839

Output
As for the relative energy among the computed polymorphs: 6.45 kcal/mol of atoms. Its crystal system is trigonal. The final energy is -4.975 eV per atom. Its space group is No. 160. The energy of formation from the pure elements comes out at -0.254 eV per atom. The calculation puts the density of states at the Fermi level at 0.3518 states/eV per atom.

=====

No. 13
This record from the Alexandria database describes a geometry-optimized Ca5Y structure. The functional is PBE.

Unit cell a=7.0553 b=7.0553 c=7.0553 alpha=60.00 beta=60.00 gamma=60.00
Positions (direct):
Ca  0.0000  0.0000  0.0000
Ca  0.1267  0.6244  0.6244
Ca  0.6244  0.1267  0.6244
Ca  0.6244  0.6244  0.1267
Ca  0.6244  0.6244  0.6244
Y  0.2500  0.2500  0.2500

Output
As for the relative energy among the computed polymorphs: 3.87 kcal/mol of atoms. Its crystal system is cubic. The final energy is -2.523 eV per atom. Its space group is No. 216. The energy of formation from the pure elements comes out at 0.222 eV per atom. The calculation puts the density of states at the Fermi level at 1.7327 states/eV per atom.

=====

No. 14
This record from the Alexandria database describes a geometry-optimized Tc2NiBr structure. The functional is PBE.

Unit cell a=4.7095 b=4.7095 c=4.6281 alpha=94.66 beta=94.66 gamma=36.21
Positions (direct):
Tc  0.0000  0.0000  0.0000
Tc  0.7262  0.7262  0.2238
Ni  0.2643  0.2643  0.7823
Br  0.4873  0.4873  0.5331

Output
As for the relative energy among the computed polymorphs: 7.23 kcal/mol of atoms. Its crystal system is monoclinic. The formation energy without anion corrections is 697 meV/atom. The final energy is -6.350 eV per atom. Its space group is No. 8. The calculation puts the density of states at the Fermi level at 0.9879 states/eV per atom.